# 1
# MnSiTcW PBE-GGA relaxed
data_MnSiTcW
_chemical_formula_sum 'Mn4 Si4 Tc4 W4'
_cell_length_a 5.977
_cell_length_b 5.977
_cell_length_c 5.977
_cell_angle_alpha 90.00
_cell_angle_beta 90.00
_cell_angle_gamma 90.00
_symmetry_space_group_name_H-M 'F -4 3 m'
_symmetry_Int_Tables_number 216
_symmetry_space_group_name_Hall 'F -4 2 3'
loop_
_atom_site_label
_atom_site_fract_x
_atom_site_fract_y
_atom_site_fract_z
_atom_site_occupancy
Mn1 0.000 0.000 0.000 1
Si1 0.250 0.250 0.750 1
Tc1 0.000 0.000 0.500 1
W1 0.250 0.250 0.250 1
# Spin magnetization = 0.0 μB per formula unit
# Raw formation energy = -0.22 eV/atom



# 2
# YMnSi2Tc PBE-GGA relaxed
data_YMnSi2Tc
_chemical_formula_sum 'Y2 Mn2 Si4 Tc2'
_cell_length_a 3.999
_cell_length_b 3.999
_cell_length_c 10.413
_cell_angle_alpha 90.00
_cell_angle_beta 90.00
_cell_angle_gamma 90.00
_symmetry_space_group_name_H-M 'I -4 m 2'
_symmetry_Int_Tables_number 119
_symmetry_space_group_name_Hall 'I -4 -2'
loop_
_atom_site_label
_atom_site_fract_x
_atom_site_fract_y
_atom_site_fract_z
_atom_site_occupancy
Y1 0.000 0.000 0.000 1
Mn1 0.000 0.500 0.750 1
Si1 0.000 0.000 0.382 1
Tc1 0.000 0.500 0.250 1
# Spin magnetization = 2.6 μB per formula unit
# Raw formation energy = -0.65 eV/atom